MgZn2Rh | GGA-PBEsol | optimized geometry

Computed properties:
The space group is No. 216. The calculation puts the formation energy at -0.259 eV per atom. As for the size of the total moment: 0.00 μB per cell. The density of states at the Fermi level is 0.437 states/eV per atom.

Geometry as POSCAR:
```
MgZn2Rh
1.0
4.324 0.000 0.000
2.162 3.745 0.000
2.162 1.248 3.530
Zn Mg Rh
2 1 1
direct
0.750 0.750 0.750
0.000 0.000 0.000
0.500 0.500 0.500
0.250 0.250 0.250
```

---

MgZn2Rh | GGA-PBEsol | optimized geometry

Computed properties:
The space group is No. 123. The calculation puts the formation energy at -0.328 eV per atom. As for the size of the total moment: 0.00 μB per cell. The density of states at the Fermi level is 0.507 states/eV per atom.

Geometry as POSCAR:
```
MgZn2Rh
1.0
-1.684 -0.822 3.366
3.382 -1.159 1.409
0.712 3.571 1.229
Zn Mg Rh
2 1 1
direct
0.000 0.500 0.000
0.000 0.000 0.500
0.500 0.500 0.500
0.500 0.000 0.000
```